Entry 1:
Here is a geometry-optimized As2O3 structure from Alexandria. Energies are from GGA-PBE.

Results
Raw formation energy   -1205 meV/atom
DOS at the Fermi energy   0.0 states/eV/cell

Cell: 5.402 4.633 8.737 Å, 90.14 81.72 70.02°
Fractional coordinates of all 10 atoms:
O 0.018 0.785 0.794
O 0.018 0.285 0.294
As 0.181 0.034 0.438
O 0.163 0.344 0.570
O 0.876 0.959 0.518
O 0.876 0.459 0.018
O 0.163 0.844 0.070
As 0.181 0.534 0.938
As 0.857 0.664 0.649
As 0.857 0.164 0.149

---

Entry 2:
Here is a geometry-optimized As2O3 structure from Alexandria. Energies are from GGA-PBE.

Results
Raw formation energy   -266 meV/atom
DOS at the Fermi energy   2.9 states/eV/cell

Cell: 3.891 3.891 3.891 Å, 90.00 90.00 90.00°
Fractional coordinates of all 5 atoms:
O 0.500 0.000 0.000
As 0.500 0.500 0.500
O 0.000 0.500 0.000
As 0.000 0.000 0.000
O 0.000 0.000 0.500

---

Entry 3:
Here is a geometry-optimized AsO structure from Alexandria. Energies are from GGA-PBE.

Results
E above lowest polymorph   0.801 eV/atom
Raw formation energy   -21 meV/atom
DOS at the Fermi energy   6.0 states/eV/cell

Cell: 4.774 4.774 4.774 Å, 90.00 90.00 90.00°
Fractional coordinates of all 8 atoms:
As 0.000 0.500 0.000
O 0.500 0.500 0.000
O 0.000 0.500 0.500
O 0.500 0.000 0.500
As 0.500 0.500 0.500
As 0.000 0.000 0.500
As 0.500 0.000 0.000
O 0.000 0.000 0.000

---

Entry 4:
Here is a geometry-optimized As2O3 structure from Alexandria. Energies are from GGA-PBE.

Results
Raw formation energy   -174 meV/atom
DOS at the Fermi energy   3.7 states/eV/cell

Cell: 4.613 4.613 7.210 Å, 71.34 71.34 90.00°
Site moments in Bohr magnetons follow the coordinates.
Fractional coordinates of all 10 atoms:
As 0.844 0.344 0.311  0.00
O 0.296 0.296 0.408  0.00
O 0.093 0.358 0.815  0.05
As 0.656 0.156 0.689  0.00
As 0.000 0.000 0.000  0.00
O 0.704 0.704 0.592  0.00
As 0.250 0.750 0.500  0.00
O 0.093 0.827 0.815  0.05
O 0.642 0.907 0.185  0.05
O 0.173 0.907 0.185  0.05

---

Entry 5:
Here is a geometry-optimized As2O3 structure from Alexandria. Energies are from GGA-PBE.

Results
Raw formation energy   -1176 meV/atom
DOS at the Fermi energy   0.0 states/eV/cell

Cell: 9.227 5.237 9.820 Å, 65.55 61.98 28.24°
Fractional coordinates of all 10 atoms:
O 0.487 0.844 0.210
As 0.241 0.909 0.359
As 0.900 0.591 0.859
As 0.509 0.091 0.641
O 0.447 0.344 0.290
O 0.082 0.656 0.710
O 0.541 0.156 0.790
O 0.471 0.500 0.500
O 0.721 0.000 0.000
As 0.350 0.409 0.141

---

Entry 6:
Here is a geometry-optimized As2O3 structure from Alexandria. Energies are from GGA-PBE.

Results
Raw formation energy   -965 meV/atom
DOS at the Fermi energy   0.0 states/eV/cell

Cell: 3.053 7.573 10.113 Å, 125.72 90.00 101.63°
Fractional coordinates of all 10 atoms:
O 0.059 0.117 0.893
As 0.678 0.356 0.036
O 0.706 0.412 0.879
As 0.083 0.165 0.297
O 0.432 0.865 0.610
O 0.294 0.588 0.121
O 0.568 0.135 0.390
O 0.941 0.883 0.107
As 0.322 0.644 0.964
As 0.917 0.835 0.703

---

- Among the records above, which one has the highest raw formation energy?
  AsO